## TbNdCdAu (GGA-PBE)

Data for a relaxed TbNdCdAu crystal.

```
TbNdCdAu
1.0
3.7221 0.0000 0.0000
0.0000 3.7221 0.0000
0.0000 0.0000 7.5154
Tb Nd Cd Au
1 1 1 1
direct
0.0000 0.0000 0.0000 Tb
0.0000 0.0000 0.4729 Nd
0.5000 0.5000 0.7460 Cd
0.5000 0.5000 0.2132 Au
```

Computed properties:
**DOS at the Fermi energy**: 3.83 states/eV/cell
**Symmetry**: P4mm (99)
**Formation energy**: -562 meV per atom
**V**: 104 Å³/cell
**Calculated total energy**: -3.96 eV/atom
**Offset from the most stable computed form**: 0.0000 eV per atom